(1)
# NdDy3Th4, optimized geometry, DFT PBE
data_NdDy3Th4
_chemical_formula_sum 'Nd2 Dy6 Th8'
_cell_length_a 19.1198
_cell_length_b 3.4510
_cell_length_c 9.3859
_cell_angle_alpha 90.00
_cell_angle_beta 119.18
_cell_angle_gamma 90.00
_space_group_name_H-M_alt 'C 1 2/m 1'
_space_group_IT_number 12
loop_
_space_group_symop_operation_xyz
'x,y,z'
'-x,-y,-z'
'-x,y,-z'
'x,-y,z'
'x+1/2,y+1/2,z'
'-x+1/2,-y+1/2,-z'
'-x+1/2,y+1/2,-z'
'x+1/2,-y+1/2,z'
loop_
_atom_site_label
_atom_site_fract_x
_atom_site_fract_y
_atom_site_fract_z
_atom_site_occupancy
Nd1 0.0000 0.0000 0.0000 1
Dy1 0.0000 0.5000 0.5000 1
Dy2 0.1829 0.5000 0.1817 1
Th1 0.1495 0.0000 0.8394 1
Th2 0.1525 0.0000 0.4633 1
# Mass density = 9.58 g/cm³
# Energy relative to the elements = 0.3148 eV per atom
# Magnetization = 0.00 μB per cell

---

(2)
# NdDy2Th2, optimized geometry, DFT PBE
data_NdDy2Th2
_chemical_formula_sum 'Nd3 Dy6 Th6'
_cell_length_a 3.5899
_cell_length_b 3.5899
_cell_length_c 43.7035
_cell_angle_alpha 90.00
_cell_angle_beta 90.00
_cell_angle_gamma 120.00
_space_group_name_H-M_alt 'R -3 m'
_space_group_IT_number 166
_space_group_name_Hall '-R 3 2"'
loop_
_atom_site_label
_atom_site_fract_x
_atom_site_fract_y
_atom_site_fract_z
_atom_site_occupancy
Nd1 0.0000 0.0000 0.0000 1
Dy1 0.0000 0.0000 0.4016 1
Th1 0.0000 0.0000 0.1991 1
# Mass density = 9.53 g/cm³
# Energy relative to the elements = 0.0154 eV per atom
# Magnetization = 0.00 μB per cell
# E above lowest polymorph = 0 meV/atom

---

(3)
# Nd5Dy6Th2, optimized geometry, DFT PBE
data_Nd5Dy6Th2
_chemical_formula_sum 'Nd10 Dy12 Th4'
_cell_length_a 11.5852
_cell_length_b 21.0353
_cell_length_c 3.5980
_cell_angle_alpha 90.00
_cell_angle_beta 90.00
_cell_angle_gamma 90.00
_space_group_name_H-M_alt 'P b a m'
_space_group_IT_number 55
loop_
_space_group_symop_operation_xyz
'x,y,z'
'-x,-y,-z'
'-x,-y,z'
'x,y,-z'
'x+1/2,-y+1/2,-z'
'-x+1/2,y+1/2,z'
'-x+1/2,y+1/2,-z'
'x+1/2,-y+1/2,z'
loop_
_atom_site_label
_atom_site_fract_x
_atom_site_fract_y
_atom_site_fract_z
_atom_site_occupancy
Nd1 0.0000 0.0000 0.0000 1
Nd2 0.0635 0.2944 0.0000 1
Nd3 0.1913 0.5784 0.0000 1
Dy1 0.0626 0.1479 0.5000 1
Dy2 0.0810 0.4377 0.5000 1
Dy3 0.1861 0.8764 0.0000 1
Th1 0.1901 0.7360 0.5000 1
# Mass density = 8.18 g/cm³
# Energy relative to the elements = 0.1084 eV per atom
# Magnetization = 0.00 μB per cell

---

(4)
# Nd4DyTh, optimized geometry, DFT PBE
data_Nd4DyTh
_chemical_formula_sum 'Nd4 Dy1 Th1'
_cell_length_a 3.6288
_cell_length_b 6.3031
_cell_length_c 9.6412
_cell_angle_alpha 77.35
_cell_angle_beta 79.28
_cell_angle_gamma 73.73
_space_group_name_H-M_alt 'P -1'
_space_group_IT_number 2
loop_
_space_group_symop_operation_xyz
'x,y,z'
'-x,-y,-z'
loop_
_atom_site_label
_atom_site_fract_x
_atom_site_fract_y
_atom_site_fract_z
_atom_site_occupancy
Nd1 0.1628 0.0041 0.1713 1
Nd2 0.1641 0.5065 0.6638 1
Dy1 0.5000 0.5000 0.0000 1
Th1 0.5000 0.0000 0.5000 1
# Mass density = 7.88 g/cm³
# Energy relative to the elements = 0.0390 eV per atom
# Magnetization = 0.00 μB per cell
# E above lowest polymorph = 0 meV/atom